[1]
# Tb19Y4Th6

An optimized crystal structure of Tb19Y4Th6 (PBE, Alexandria via LeMat-Bulk).

Lattice parameters (Å, degrees): 10.808 10.808 10.808 109.47 109.47 109.47
Atoms (fractional coordinates):
Tb 0.000 0.000 0.000
Tb 0.000 0.266 0.266
Tb 0.000 0.734 0.734
Tb 0.020 0.808 0.343
Tb 0.192 0.212 0.535
Tb 0.212 0.535 0.192
Tb 0.266 0.000 0.266
Tb 0.266 0.266 0.000
Tb 0.323 0.788 0.980
Tb 0.343 0.020 0.808
Tb 0.465 0.677 0.657
Tb 0.535 0.192 0.212
Tb 0.657 0.465 0.677
Tb 0.677 0.657 0.465
Tb 0.734 0.000 0.734
Tb 0.734 0.734 0.000
Tb 0.788 0.980 0.323
Tb 0.808 0.343 0.020
Tb 0.980 0.323 0.788
Y 0.000 0.000 0.644
Y 0.000 0.644 0.000
Y 0.356 0.356 0.356
Y 0.644 0.000 0.000
Th 0.130 0.630 0.500
Th 0.370 0.500 0.870
Th 0.500 0.130 0.630
Th 0.500 0.870 0.370
Th 0.630 0.500 0.130
Th 0.870 0.370 0.500

Computed properties:
Calculated formation energy, eV per atom: 0.420
Uncorrected energy, eV/atom: -5.04

[2]
# Tb4YTh3

An optimized crystal structure of Tb4YTh3 (PBE, Alexandria via LeMat-Bulk).

Lattice parameters (Å, degrees): 5.044 10.109 10.126 90.00 90.00 90.00
Atoms (fractional coordinates):
Tb 0.250 0.001 0.128
Tb 0.250 0.250 0.874
Tb 0.250 0.499 0.128
Tb 0.250 0.750 0.869
Tb 0.750 0.250 0.131
Tb 0.750 0.501 0.872
Tb 0.750 0.750 0.126
Tb 0.750 0.999 0.872
Y 0.250 0.750 0.377
Y 0.750 0.250 0.623
Th 0.250 0.250 0.376
Th 0.250 0.503 0.623
Th 0.250 0.997 0.623
Th 0.750 0.003 0.377
Th 0.750 0.497 0.377
Th 0.750 0.750 0.624

Computed properties:
Calculated formation energy, eV per atom: 0.033
Uncorrected energy, eV/atom: -5.87

[3]
# Tb4Y10Th

An optimized crystal structure of Tb4Y10Th (PBE, Alexandria via LeMat-Bulk).

Lattice parameters (Å, degrees): 8.672 8.672 8.672 111.30 111.30 105.88
Atoms (fractional coordinates):
Tb 0.067 0.666 0.733
Tb 0.334 0.067 0.401
Tb 0.666 0.933 0.599
Tb 0.933 0.334 0.267
Y 0.128 0.225 0.676
Y 0.225 0.549 0.096
Y 0.250 0.750 0.500
Y 0.451 0.548 0.676
Y 0.452 0.128 0.904
Y 0.548 0.872 0.096
Y 0.549 0.452 0.324
Y 0.750 0.250 0.500
Y 0.775 0.451 0.904
Y 0.872 0.775 0.324
Th 0.000 0.000 0.000

Computed properties:
Calculated formation energy, eV per atom: 0.393
Uncorrected energy, eV/atom: -5.65

[4]
# Tb4Y2Th5

An optimized crystal structure of Tb4Y2Th5 (PBE, Alexandria via LeMat-Bulk).

Lattice parameters (Å, degrees): 8.836 3.471 11.692 90.00 94.63 90.00
Atoms (fractional coordinates):
Tb 0.160 0.000 0.401
Tb 0.296 0.000 0.946
Tb 0.704 0.000 0.054
Tb 0.840 0.000 0.599
Y 0.057 0.500 0.137
Y 0.943 0.500 0.863
Th 0.205 0.500 0.674
Th 0.428 0.500 0.211
Th 0.500 0.500 0.500
Th 0.572 0.500 0.789
Th 0.795 0.500 0.326

Computed properties:
Calculated formation energy, eV per atom: 0.136
Uncorrected energy, eV/atom: -6.10

> What is the calculated formation energy in the third record?

0.393 eV per atom